The following is a DFT calculation (PBE-GGA) of a geometry-optimized RuW2 structure.

```
6
Lattice="5.051 -1.448 0.000 5.051 1.448 0.000 -2.177 0.000 6.389" Properties=species:S:1:pos:R:3 pbc="T T T"
Ru 0.000 0.000 0.000
Ru 6.208 0.000 2.148
W -0.633 0.000 3.768
W 2.065 0.000 4.280
W 3.468 0.000 1.612
W 5.117 0.000 5.973
```

Output
Density, g cm⁻³: 16.7
Density of states at the Fermi level, states/eV per cell: 5.67
DFT total energy, eV/atom: -11.524
Spin magnetization, μB per formula unit: 0.00
Calculated formation energy, eV per atom: 0.204
SG: Cm, No. 8